A geometry-optimized LaTaBe structure. Source: the Alexandria database, functional GGA-PBEsol.

E: -6.8901 eV/atom
Fermi-level density of states: 3.1 states/eV/f.u.
space group: Imm2 (44)
total magnetization: 0.00 μB/f.u.

```
3
Lattice="3.052 0.000 0.000 0.000 3.633 0.000 -1.526 -1.816 5.280" Properties=species:S:1:pos:R:3 pbc="T T T"
Be 1.526 1.816 4.867
La 1.526 1.816 1.715
Ta 0.000 0.000 3.977
```